(1)
Material: LaMgTe2
Method: DFT, PBE
State: relaxed

Cell: 4.084 3.968 7.755 Å, 90.00 102.90 90.00°
Positions (direct):
1 La 0.000 0.000 0.000
2 Mg 0.500 0.000 0.500
3 Te 0.400 0.500 0.756
4 Te 0.600 0.500 0.244

Output
- E_form (uncorrected) (eV per atom) = -1.053
- space-group type = P2/m

=====

(2)
Material: K6Rb2Hg
Method: DFT, PBE
State: relaxed

Cell: 11.894 11.894 4.870 Å, 101.50 101.50 66.66°
Positions (direct):
1 K 0.025 0.329 0.671
2 K 0.209 0.791 0.000
3 K 0.329 0.025 0.671
4 K 0.671 0.975 0.329
5 K 0.791 0.209 0.000
6 K 0.975 0.671 0.329
7 Rb 0.377 0.377 0.352
8 Rb 0.623 0.623 0.648
9 Hg 0.000 0.000 0.500

Output
- space-group type = C2/m
- relative energy among the computed polymorphs (eV/atom) = 0.017
- energy of formation (eV per atom) = -0.022

=====

(3)
Material: Ba5PmPb4
Method: DFT, PBE
State: relaxed

Cell: 9.914 9.914 9.523 Å, 101.99 101.99 29.74°
Positions (direct):
1 Ba 0.000 0.000 0.000
2 Ba 0.330 0.330 0.390
3 Ba 0.341 0.341 0.922
4 Ba 0.659 0.659 0.078
5 Ba 0.670 0.670 0.610
6 Pm 0.000 0.000 0.500
7 Pb 0.134 0.134 0.334
8 Pb 0.499 0.499 0.733
9 Pb 0.501 0.501 0.267
10 Pb 0.866 0.866 0.666

Output
- space-group type = C2/m
- energy of formation (eV per atom) = -0.361

=====

(4)
Material: CsRbAg2Br4
Method: DFT, PBE
State: relaxed

Cell: 5.588 5.588 9.491 Å, 90.00 90.00 90.00°
Positions (direct):
1 Cs 0.000 0.000 0.000
2 Rb 0.000 0.000 0.500
3 Ag 0.500 0.500 0.268
4 Ag 0.500 0.500 0.732
5 Br 0.000 0.500 0.263
6 Br 0.000 0.500 0.737
7 Br 0.500 0.000 0.263
8 Br 0.500 0.000 0.737

Output
- E_form (uncorrected) (eV per atom) = -1.015
- space-group type = P4/mmm

=====

(5)
Material: AlHg
Method: DFT, PBE
State: relaxed

Cell: 4.723 12.335 4.692 Å, 90.00 90.00 90.00°
Positions (direct):
1 Al 0.250 0.127 0.170
2 Al 0.250 0.373 0.170
3 Al 0.250 0.750 0.716
4 Al 0.750 0.250 0.284
5 Al 0.750 0.627 0.830
6 Al 0.750 0.873 0.830
7 Hg 0.250 0.250 0.674
8 Hg 0.250 0.588 0.219
9 Hg 0.250 0.912 0.219
10 Hg 0.750 0.088 0.781
11 Hg 0.750 0.412 0.781
12 Hg 0.750 0.750 0.326

Output
- space-group type = Pmmn
- energy of formation (eV per atom) = 0.183

=====

(6)
Material: CaAl11Os
Method: DFT, PBE
State: relaxed

Cell: 6.901 6.901 7.113 Å, 97.88 97.88 135.01°
Positions (direct):
1 Ca 0.000 0.000 0.000
2 Al 0.000 0.000 0.500
3 Al 0.000 0.500 0.000
4 Al 0.016 0.361 0.360
5 Al 0.286 0.502 0.776
6 Al 0.361 0.016 0.360
7 Al 0.498 0.714 0.224
8 Al 0.500 0.000 0.000
9 Al 0.502 0.286 0.776
10 Al 0.639 0.984 0.640
11 Al 0.714 0.498 0.224
12 Al 0.984 0.639 0.640
13 Os 0.500 0.500 0.500

Output
- space-group type = C2/m
- energy of formation (eV per atom) = -0.189

=====

(7)
Material: BaLa3Th2N6
Method: DFT, PBE
State: relaxed

Cell: 8.546 8.546 7.509 Å, 101.84 101.84 25.33°
Positions (direct):
1 Ba 0.000 0.000 0.000
2 La 0.000 0.000 0.500
3 La 0.328 0.328 0.163
4 La 0.672 0.672 0.837
5 Th 0.332 0.332 0.662
6 Th 0.668 0.668 0.338
7 N 0.176 0.176 0.580
8 N 0.182 0.182 0.107
9 N 0.475 0.475 0.709
10 N 0.525 0.525 0.291
11 N 0.818 0.818 0.893
12 N 0.824 0.824 0.420

Output
- E_form (uncorrected) (eV per atom) = -1.299
- space-group type = C2/m

=====

(8)
Material: LiNb2SiAs
Method: DFT, PBE
State: relaxed

Cell: 4.595 4.595 3.836 Å, 90.00 90.00 90.00°
Positions (direct):
1 Li 0.000 0.000 0.000
2 Nb 0.000 0.500 0.000
3 Nb 0.500 0.000 0.000
4 Si 0.000 0.000 0.500
5 As 0.500 0.500 0.500

Output
- E_form (uncorrected) (eV per atom) = 0.677
- space-group type = P4/mmm

=====

(9)
Material: RbMgGe2Se
Method: DFT, PBE
State: relaxed

Cell: 5.363 5.363 6.081 Å, 90.00 90.00 90.00°
Positions (direct):
1 Rb 0.000 0.000 0.000
2 Mg 0.500 0.500 0.000
3 Ge 0.000 0.500 0.500
4 Ge 0.500 0.000 0.500
5 Se 0.000 0.000 0.500

Output
- E_form (uncorrected) (eV per atom) = 0.414
- space-group type = P4/mmm

=====

(10)
Material: LiMnTlI4
Method: DFT, PBE
State: relaxed

Cell: 7.818 7.818 7.818 Å, 122.00 122.00 86.57°
Positions (direct):
1 Li 0.000 0.000 0.000
2 Mn 0.750 0.250 0.500
3 Tl 0.500 0.500 0.000
4 I 0.046 0.619 0.937
5 I 0.381 0.318 0.427
6 I 0.682 0.109 0.063
7 I 0.891 0.954 0.573

Output
- E_form (uncorrected) (eV per atom) = -0.703
- space-group type = I-4

=====

Results for calculated volume: 30.625, 68.255, 45.345, 37.039, 22.778, 17.199, 19.111, 16.197, 34.980, 46.730 (in Å³ per atom, following the order of the records).
Results for total energy: -4.25, -1.00, -3.28, -2.79, -1.84, -4.37, -8.09, -5.75, -2.64, -3.51 (in eV per atom, following the order of the records).
Results for Fermi-level density of states: 2.45, 6.60, 10.74, 0.30, 4.31, 5.13, 2.79, 3.78, 4.58, 0.00 (in states/eV per cell, following the order of the records).